# 1
The following is a GGA-PBE calculation of an optimized crystal structure of CsPuCdTe3, from the Alexandria database.

POSCAR file:
```
CsPuCdTe3
1.0
-0.8591 -3.8351 2.4389
9.9450 -1.8167 0.6463
-3.4507 6.2802 8.6596
Pu Te Cd Cs
2 6 2 2
Direct
0.2500 0.6748 0.1391 Pu
0.7500 0.3252 0.8609 Pu
0.7500 0.4748 0.1532 Te
0.2500 0.1153 0.8714 Te
0.7500 0.2193 0.5475 Te
0.2500 0.7807 0.4525 Te
0.7500 0.8847 0.1286 Te
0.2500 0.5252 0.8468 Te
0.2500 0.0854 0.6129 Cd
0.7500 0.9146 0.3871 Cd
0.7500 0.7778 0.7522 Cs
0.2500 0.2222 0.2478 Cs
```

Results
formation energy from raw total energies: -5.36 eV per formula unit
calculated total energy: -5.148 eV/atom
symmetry: No. 11

---

# 2
The following is a GGA-PBE calculation of an optimized crystal structure of CsRbCd4, from the Alexandria database.

POSCAR file:
```
CsRbCd4
1.0
6.6882 0.0000 0.0000
3.3441 5.7922 0.0000
3.3441 1.9307 5.4609
Cs Cd Rb
1 4 1
Direct
0.2500 0.2500 0.2500 Cs
0.6265 0.6265 0.1204 Cd
0.1204 0.6265 0.6265 Cd
0.6265 0.6265 0.6265 Cd
0.6265 0.1204 0.6265 Cd
0.0000 0.0000 0.0000 Rb
```

Results
calculated total energy: -0.952 eV/atom
formation energy from the elements: -38 meV/atom
symmetry: No. 216

---

# 3
The following is a GGA-PBE calculation of an optimized crystal structure of CsRb2Cd, from the Alexandria database.

POSCAR file:
```
CsRb2Cd
1.0
-2.8922 -2.8039 5.4212
-2.6760 -4.3509 -3.6779
5.0193 -3.7229 0.7522
Rb Cd Cs
2 1 1
Direct
0.0000 0.5000 0.0000 Rb
0.0000 0.0000 0.5000 Rb
0.5000 0.0000 0.0000 Cd
0.5000 0.5000 0.5000 Cs
```

Results
calculated total energy: -0.873 eV/atom
formation energy from the elements: 53 meV/atom
symmetry: No. 123

---

# 4
The following is a GGA-PBE calculation of an optimized crystal structure of Cs3Rb8Cd2, from the Alexandria database.

POSCAR file:
```
Cs3Rb8Cd2
1.0
5.8094 0.0000 0.0001
0.0005 13.4281 2.2259
-0.0003 -0.3845 14.1325
Cd Rb Cs
2 8 3
Direct
0.5000 0.2089 0.5893 Cd
0.5000 0.7911 0.4107 Cd
0.0000 0.3440 0.4520 Rb
0.0000 0.8555 0.2470 Rb
0.5000 0.4227 0.7520 Rb
0.0000 0.6560 0.5480 Rb
0.5000 0.9086 0.6449 Rb
0.5000 0.5773 0.2480 Rb
0.5000 0.0914 0.3551 Rb
0.0000 0.1445 0.7530 Rb
0.0000 0.6860 0.9182 Cs
0.5000 0.0000 0.0000 Cs
0.0000 0.3140 0.0818 Cs
```

Results
calculated total energy: -0.905 eV/atom
formation energy from the elements: 28 meV/atom
symmetry: No. 10

---

# 5
The following is a GGA-PBE calculation of an optimized crystal structure of CsRbCd6, from the Alexandria database.

POSCAR file:
```
CsRbCd6
1.0
4.8067 0.0000 0.0000
0.0000 7.4234 -4.2066
0.0000 -0.0511 8.5323
Rb Cd Cs
1 6 1
Direct
0.5000 0.9164 0.0836 Rb
0.0000 0.5098 0.8797 Cd
0.0000 0.1203 0.4902 Cd
0.5000 0.3756 0.0019 Cd
0.5000 0.9981 0.6244 Cd
0.5000 0.3762 0.6238 Cd
0.0000 0.1199 0.8801 Cd
0.0000 0.5837 0.4163 Cs
```

Results
calculated total energy: -0.923 eV/atom
formation energy from the elements: -9 meV/atom
symmetry: No. 38

---

# 6
The following is a GGA-PBE calculation of an optimized crystal structure of CsRb2Cd, from the Alexandria database.

POSCAR file:
```
CsRb2Cd
1.0
-5.9422 1.5152 0.6423
-0.8640 -0.8242 -6.0492
-6.8607 -14.2674 -0.2186
Rb Cs Cd
4 2 2
Direct
0.8750 0.8461 0.7500 Rb
0.1539 0.6250 0.2500 Rb
0.5961 0.1250 0.2500 Rb
0.3750 0.4039 0.7500 Rb
0.0000 0.0000 0.0000 Cs
0.7500 0.2500 0.5000 Cs
0.5000 0.5000 0.0000 Cd
0.2500 0.7500 0.5000 Cd
```

Results
calculated total energy: -0.827 eV/atom
formation energy from the elements: 99 meV/atom
symmetry: No. 122

---

# 7
The following is a GGA-PBE calculation of an optimized crystal structure of CsRbCd, from the Alexandria database.

POSCAR file:
```
CsRbCd
1.0
-1.2564 2.7902 5.0231
-5.0090 1.0076 -1.8126
-3.2972 -12.0395 2.4192
Cd Cs Rb
2 2 2
Direct
0.0272 0.2500 0.0545 Cd
0.9728 0.7500 0.9455 Cd
0.5804 0.7500 0.1608 Cs
0.4196 0.2500 0.8392 Cs
0.8079 0.7500 0.6159 Rb
0.1921 0.2500 0.3841 Rb
```

Results
calculated total energy: -0.942 eV/atom
formation energy from the elements: -30 meV/atom
symmetry: No. 63

---

# 8
The following is a GGA-PBE calculation of an optimized crystal structure of Cs10Rb6Cd, from the Alexandria database.

POSCAR file:
```
Cs10Rb6Cd
1.0
9.6484 0.0000 0.0000
0.0000 12.4464 -7.1860
0.0000 0.0000 14.3719
Cs Rb Cd
10 6 1
Direct
0.2558 0.7692 0.0000 Cs
0.5000 0.6667 0.3333 Cs
0.7442 0.7692 0.7692 Cs
0.7442 0.2308 0.0000 Cs
0.0000 0.3333 0.6667 Cs
0.2558 0.2308 0.2308 Cs
0.7442 0.0000 0.2308 Cs
0.2558 0.0000 0.7692 Cs
0.0000 0.6667 0.3333 Cs
0.5000 0.3333 0.6667 Cs
0.7496 0.4016 0.4016 Rb
0.2504 0.4016 0.0000 Rb
0.7496 0.0000 0.5984 Rb
0.7496 0.5984 0.0000 Rb
0.2504 0.0000 0.4016 Rb
0.2504 0.5984 0.5984 Rb
0.5000 0.0000 0.0000 Cd
```

Results
calculated total energy: -0.880 eV/atom
formation energy from the elements: 18 meV/atom
symmetry: No. 162

---

# 9
The following is a GGA-PBE calculation of an optimized crystal structure of CsRbCd2, from the Alexandria database.

POSCAR file:
```
CsRbCd2
1.0
4.8872 0.0000 0.0000
2.4436 4.2325 0.0000
2.4436 1.4108 10.7416
Cd Rb Cs
2 1 1
Direct
0.0811 0.0811 0.7566 Cd
0.2523 0.2523 0.2432 Cd
0.6676 0.6676 0.9973 Rb
0.4991 0.4991 0.5028 Cs
```

Results
calculated total energy: -0.795 eV/atom
formation energy from the elements: 118 meV/atom
symmetry: No. 160

---

# 10
The following is a GGA-PBE calculation of an optimized crystal structure of Cs6Rb8Cd, from the Alexandria database.

POSCAR file:
```
Cs6Rb8Cd
1.0
-10.6607 3.9452 -2.9670
-5.2917 -8.3709 -6.3202
-7.8503 -5.3119 6.9408
Rb Cs Cd
8 6 1
Direct
0.9648 0.6739 0.1020 Rb
0.7590 0.7590 0.7590 Rb
0.0352 0.3261 0.8980 Rb
0.2410 0.2410 0.2410 Rb
0.8980 0.0352 0.3261 Rb
0.1020 0.9648 0.6739 Rb
0.3261 0.8980 0.0352 Rb
0.6739 0.1020 0.9648 Rb
0.4463 0.1735 0.6178 Cs
0.8265 0.3822 0.5537 Cs
0.3822 0.5537 0.8265 Cs
0.6178 0.4463 0.1735 Cs
0.5537 0.8265 0.3822 Cs
0.1735 0.6178 0.4463 Cs
0.0000 0.0000 0.0000 Cd
```

Results
calculated total energy: -0.908 eV/atom
formation energy from the elements: 11 meV/atom
symmetry: No. 148

---

# 11
The following is a GGA-PBE calculation of an optimized crystal structure of Cs3Rb4Cd2, from the Alexandria database.

POSCAR file:
```
Cs3Rb4Cd2
1.0
-0.7193 -4.3375 3.5438
9.5869 2.1230 4.5446
-4.3498 9.0534 5.6988
Cd Rb Cs
2 4 3
Direct
0.6226 0.4255 0.2453 Cd
0.3774 0.5745 0.7547 Cd
0.2005 0.6302 0.4009 Rb
0.7995 0.3698 0.5991 Rb
0.4519 0.1919 0.9038 Rb
0.5481 0.8081 0.0962 Rb
0.8463 0.8522 0.6925 Cs
0.1537 0.1478 0.3075 Cs
0.0000 0.5000 0.0000 Cs
```

Results
calculated total energy: -0.918 eV/atom
formation energy from the elements: 0 meV/atom
symmetry: No. 12

---

# 12
The following is a GGA-PBE calculation of an optimized crystal structure of CsRb2Cd, from the Alexandria database.

POSCAR file:
```
CsRb2Cd
1.0
-0.2429 4.6882 0.9765
-4.6788 -0.0240 -1.0487
-2.6406 -2.6033 11.8410
Cs Cd Rb
1 1 2
Direct
0.5000 0.5000 0.5000 Cs
0.5000 0.5000 0.0000 Cd
0.0000 0.0000 0.8261 Rb
0.0000 0.0000 0.1739 Rb
```

Results
calculated total energy: -0.904 eV/atom
formation energy from the elements: 22 meV/atom
symmetry: No. 123

---

# 13
The following is a GGA-PBE calculation of an optimized crystal structure of Cs6Rb23Cd, from the Alexandria database.

POSCAR file:
```
Cs6Rb23Cd
1.0
-13.7107 -0.0711 8.1477
-1.1669 -8.2917 13.5742
-1.0226 7.6521 13.9561
Cs Rb Cd
6 23 1
Direct
0.6864 0.3136 0.3136 Cs
0.6864 0.6864 0.3136 Cs
0.6864 0.3136 0.6864 Cs
0.3136 0.3136 0.6864 Cs
0.3136 0.6864 0.3136 Cs
0.3136 0.6864 0.6864 Cs
0.6671 0.6671 0.9987 Rb
0.1183 0.1183 0.1183 Rb
0.1183 0.6451 0.1183 Rb
0.3329 0.0013 0.3329 Rb
0.8817 0.3549 0.8817 Rb
0.3329 0.3329 0.0013 Rb
0.5000 0.0000 0.0000 Rb
0.0000 0.5000 0.0000 Rb
0.5000 0.5000 0.0000 Rb
0.5000 0.0000 0.5000 Rb
0.6671 0.9987 0.6671 Rb
0.0013 0.3329 0.3329 Rb
0.8817 0.8817 0.8817 Rb
0.8817 0.8817 0.3549 Rb
0.3329 0.3329 0.3329 Rb
0.9987 0.6671 0.6671 Rb
0.6671 0.6671 0.6671 Rb
0.0000 0.5000 0.5000 Rb
0.0000 0.0000 0.5000 Rb
0.3549 0.8817 0.8817 Rb
0.0000 0.0000 0.0000 Rb
0.1183 0.1183 0.6451 Rb
0.6451 0.1183 0.1183 Rb
0.5000 0.5000 0.5000 Cd
```

Results
calculated total energy: -0.919 eV/atom
formation energy from the elements: 24 meV/atom
symmetry: No. 225

---

# 14
The following is a GGA-PBE calculation of an optimized crystal structure of Cs2RbCd, from the Alexandria database.

POSCAR file:
```
Cs2RbCd
1.0
4.4297 3.5054 4.8480
-2.8740 2.9794 6.1869
1.4359 -3.0741 6.6258
Cs Cd Rb
2 1 1
Direct
0.7500 0.7500 0.7500 Cs
0.2500 0.2500 0.2500 Cs
0.5000 0.5000 0.5000 Cd
0.0000 0.0000 0.0000 Rb
```

Results
calculated total energy: -0.840 eV/atom
formation energy from the elements: 58 meV/atom
symmetry: No. 225

---

# 15
The following is a GGA-PBE calculation of an optimized crystal structure of Cs2RbCd2, from the Alexandria database.

POSCAR file:
```
Cs2RbCd2
1.0
10.0869 0.0000 0.0000
0.0000 10.0869 0.0000
0.0000 0.0000 5.8037
Rb Cs Cd
2 4 4
Direct
0.0000 0.0000 0.0000 Rb
0.5000 0.5000 0.0000 Rb
0.6751 0.8249 0.5000 Cs
0.3249 0.1751 0.5000 Cs
0.8249 0.3249 0.5000 Cs
0.1751 0.6751 0.5000 Cs
0.6069 0.1069 0.0000 Cd
0.1069 0.3931 0.0000 Cd
0.8931 0.6069 0.0000 Cd
0.3931 0.8931 0.0000 Cd
```

Results
calculated total energy: -0.923 eV/atom
formation energy from the elements: -22 meV/atom
symmetry: No. 127

---

# 16
The following is a GGA-PBE calculation of an optimized crystal structure of Cs7Rb12Cd, from the Alexandria database.

POSCAR file:
```
Cs7Rb12Cd
1.0
-5.2257 2.9354 6.6509
8.1411 -11.7465 7.5634
8.2467 13.4661 -3.4812
Cs Rb Cd
7 12 1
Direct
0.5000 0.0000 0.0000 Cs
0.8980 0.0004 0.2333 Cs
0.3353 0.2333 0.2329 Cs
0.8977 0.2329 0.9996 Cs
0.1023 0.7671 0.0004 Cs
0.6647 0.7667 0.7671 Cs
0.1020 0.9996 0.7667 Cs
0.0921 0.5919 0.1841 Rb
0.4490 0.0004 0.3603 Rb
0.5514 0.6401 0.0004 Rb
0.4997 0.4078 0.5919 Rb
0.5510 0.9996 0.6397 Rb
0.0887 0.6397 0.6401 Rb
0.9079 0.4081 0.8159 Rb
0.0919 0.1841 0.5922 Rb
0.9081 0.8159 0.4078 Rb
0.4486 0.3599 0.9996 Rb
0.9113 0.3603 0.3599 Rb
0.5003 0.5922 0.4081 Rb
0.0000 0.0000 0.0000 Cd
```

Results
calculated total energy: -0.877 eV/atom
formation energy from the elements: 48 meV/atom
symmetry: No. 166

---

# 17
The following is a GGA-PBE calculation of an optimized crystal structure of Cs6Rb2Cd, from the Alexandria database.

POSCAR file:
```
Cs6Rb2Cd
1.0
5.3125 -0.0675 -1.3017
-1.3358 12.1913 -6.0841
0.6672 -0.6074 14.0394
Cd Cs Rb
1 6 2
Direct
0.0000 0.0000 0.0000 Cd
0.8485 0.0000 0.6626 Cs
0.1515 0.0000 0.3374 Cs
0.5000 0.7934 0.0000 Cs
0.1515 0.3374 0.3374 Cs
0.8485 0.6626 0.6626 Cs
0.5000 0.2066 0.0000 Cs
0.4326 0.3688 0.7377 Rb
0.5674 0.6312 0.2623 Rb
```

Results
calculated total energy: -0.836 eV/atom
formation energy from the elements: 49 meV/atom
symmetry: No. 12

---

# 18
The following is a GGA-PBE calculation of an optimized crystal structure of CsRbCd2, from the Alexandria database.

POSCAR file:
```
CsRbCd2
1.0
4.8506 0.0000 0.0000
0.0000 4.8506 0.0000
0.0000 0.0000 8.6812
Rb Cd Cs
1 2 1
Direct
0.5000 0.5000 0.0000 Rb
0.0000 0.0000 0.1794 Cd
0.0000 0.0000 0.8206 Cd
0.5000 0.5000 0.5000 Cs
```

Results
calculated total energy: -0.897 eV/atom
formation energy from the elements: 16 meV/atom
symmetry: No. 123

---

# 19
The following is a GGA-PBE calculation of an optimized crystal structure of Cs2RbCd2, from the Alexandria database.

POSCAR file:
```
Cs2RbCd2
1.0
5.3577 0.0000 0.0000
0.0000 7.5847 0.3605
-2.6788 -1.8248 7.3242
Cs Cd Rb
2 2 1
Direct
0.6466 0.5706 0.2933 Cs
0.3534 0.4294 0.7067 Cs
0.2689 0.9237 0.5379 Cd
0.7311 0.0763 0.4621 Cd
0.0000 0.0000 0.0000 Rb
```

Results
calculated total energy: -0.915 eV/atom
formation energy from the elements: -14 meV/atom
symmetry: No. 12

---

# 20
The following is a GGA-PBE calculation of an optimized crystal structure of CsRbCd3, from the Alexandria database.

POSCAR file:
```
CsRbCd3
1.0
6.5476 0.0000 2.7331
1.7571 8.2687 5.0002
-0.2518 0.3317 9.8126
Cd Cs Rb
6 2 2
Direct
0.7500 0.8087 0.6913 Cd
0.1042 0.8958 0.3958 Cd
0.8958 0.1042 0.6042 Cd
0.2500 0.1913 0.3087 Cd
0.3958 0.1042 0.6042 Cd
0.6042 0.8958 0.3958 Cd
0.7500 0.3487 0.1513 Cs
0.2500 0.6513 0.8487 Cs
0.5000 0.0000 0.0000 Rb
0.0000 0.5000 0.5000 Rb
```

Results
calculated total energy: -0.903 eV/atom
formation energy from the elements: 10 meV/atom
symmetry: No. 74